Ga2FeIrN: optimized geometry, PBE.

The total moment is 2.5 Bohr magnetons per cell. Its density of states at the Fermi level is 4.7 states/eV/cell. The calculation puts the total energy at -28.7 eV/cell. The calculation puts the formation energy from raw total energies at 604 meV per atom.

The space group is P4/mmm (No. 123) and the conventional cell measures 4.4299, 4.4299 and 3.7680 Å, with angles of 90.00, 90.00 and 90.00 degrees. Symmetry generates all atoms from Ga at (0.0000, 0.5000, 0.0000), Fe at (0.0000, 0.0000, 0.5000), Ir at (0.5000, 0.5000, 0.5000) and N at (0.5000, 0.5000, 0.0000).